[1]
This record from Alexandria describes a relaxed structure of Ge2Ir2F. The functional is GGA-PBE.

abc: 7.2279 7.2279 2.8725
angles: 90.00 90.00 90.00
Space group P4/mbm (No. 127)
One atom of each set of equivalent atoms:
Ge 0.1576 0.3424 0.0000
Ir 0.1394 0.6394 0.5000
F 0.0000 0.0000 0.0000

[2]
This record from Alexandria describes a relaxed structure of GeIrF. The functional is GGA-PBE.

abc: 3.0249 3.0249 10.6910
angles: 90.00 90.00 90.00
Space group P4/nmm (No. 129, origin choice 2)
One atom of each set of equivalent atoms:
Ge 0.2500 0.2500 0.2190
Ir 0.2500 0.2500 0.8993
F 0.2500 0.2500 0.3811

[3]
This record from Alexandria describes a relaxed structure of Ge2IrF. The functional is GGA-PBE.

abc: 5.5384 5.5384 10.8887
angles: 90.00 90.00 90.00
Space group I-42d (No. 122)
One atom of each set of equivalent atoms:
Ge 0.2429 0.2500 0.1250
Ir 0.0000 0.0000 0.0000
F 0.0000 0.0000 0.5000

[4]
This record from Alexandria describes a relaxed structure of GeIr2F. The functional is GGA-PBE.

abc: 7.9253 7.9253 4.2556
angles: 90.00 90.00 90.00
Space group I-42d (No. 122)
One atom of each set of equivalent atoms:
Ge 0.0000 0.0000 0.0000
Ir 0.1763 0.2500 0.1250
F 0.0000 0.0000 0.5000

[5]
This record from Alexandria describes a relaxed structure of Ge2Ir2F. The functional is GGA-PBE.

abc: 3.9421 3.9421 10.8534
angles: 90.00 90.00 90.00
Space group I4/mmm (No. 139)
One atom of each set of equivalent atoms:
Ge 0.0000 0.0000 0.1133
Ir 0.0000 0.5000 0.2500
F 0.0000 0.0000 0.5000

[6]
This record from Alexandria describes a relaxed structure of GeIr2F. The functional is GGA-PBE.

abc: 5.9729 5.9729 5.9729
angles: 90.00 90.00 90.00
Space group Fm-3m (No. 225)
One atom of each set of equivalent atoms:
Ge 0.0000 0.0000 0.0000
Ir 0.2500 0.2500 0.2500
F 0.0000 0.0000 0.5000

[7]
This record from Alexandria describes a relaxed structure of GeIrF3. The functional is GGA-PBE.

abc: 4.2621 4.2621 4.2621
angles: 90.00 90.00 90.00
Space group Pm-3m (No. 221)
One atom of each set of equivalent atoms:
Ge 0.0000 0.0000 0.0000
Ir 0.5000 0.5000 0.5000
F 0.0000 0.5000 0.5000

[8]
This record from Alexandria describes a relaxed structure of GeIrF. The functional is GGA-PBE.

abc: 2.8659 4.0548 8.6835
angles: 90.00 90.00 90.00
Space group Pmmn (No. 59, origin choice 2)
One atom of each set of equivalent atoms:
Ge 0.2500 0.2500 0.2192
Ir 0.2500 0.7500 0.0722
F 0.2500 0.7500 0.6193

[9]
This record from Alexandria describes a relaxed structure of GeIrF. The functional is GGA-PBE.

abc: 3.6388 5.2330 5.8546
angles: 81.62 89.37 77.93
Space group P-1 (No. 2)
One atom of each set of equivalent atoms:
Ge 0.0489 0.2756 0.4388
Ir 0.3825 0.9230 0.7320
F 0.3234 0.8036 0.0809

[10]
This record from Alexandria describes a relaxed structure of GeIrF. The functional is GGA-PBE.

abc: 13.0507 4.1873 2.9505
angles: 90.00 91.84 90.00
Space group C2/m (No. 12)
One atom of each set of equivalent atoms:
Ge 0.1495 0.0000 0.0135
Ir 0.1699 0.5000 0.5201
F 0.0000 0.0000 0.0000
F 0.0000 0.5000 0.5000

[11]
This record from Alexandria describes a relaxed structure of GeIrF3. The functional is GGA-PBE.

abc: 4.3013 4.3013 4.3013
angles: 90.00 90.00 90.00
Space group Pm-3m (No. 221)
One atom of each set of equivalent atoms:
Ge 0.0000 0.0000 0.0000
Ir 0.5000 0.5000 0.5000
F 0.0000 0.0000 0.5000

[12]
This record from Alexandria describes a relaxed structure of Ge2IrF. The functional is GGA-PBE.

abc: 6.1543 6.1543 6.1543
angles: 90.00 90.00 90.00
Space group Fm-3m (No. 225)
One atom of each set of equivalent atoms:
Ge 0.2500 0.2500 0.2500
Ir 0.0000 0.0000 0.0000
F 0.0000 0.0000 0.5000

Number 1: magnetic moment 0.00 μB/f.u., excess energy over the best structure of this formula in the dataset 0.000 eV per formula unit, final energy -6.129 eV per atom. Number 2: magnetic moment 0.00 μB/f.u., excess energy over the best structure of this formula in the dataset 0.024 eV per formula unit, final energy -6.081 eV per atom. Number 3: magnetic moment 0.00 μB/f.u., excess energy over the best structure of this formula in the dataset 0.054 eV per formula unit, final energy -5.391 eV per atom. Number 4: magnetic moment 0.00 μB/f.u., excess energy over the best structure of this formula in the dataset 0.000 eV per formula unit, final energy -6.109 eV per atom. Number 5: magnetic moment 0.00 μB/f.u., excess energy over the best structure of this formula in the dataset 0.104 eV per formula unit, final energy -6.108 eV per atom. Number 6: magnetic moment 0.00 μB/f.u., excess energy over the best structure of this formula in the dataset 0.045 eV per formula unit, final energy -6.098 eV per atom. Number 7: magnetic moment 0.00 μB/f.u., excess energy over the best structure of this formula in the dataset 0.000 eV per formula unit, final energy -4.241 eV per atom. Number 8: magnetic moment 0.00 μB/f.u., excess energy over the best structure of this formula in the dataset 0.259 eV per formula unit, final energy -6.002 eV per atom. Number 9: magnetic moment 0.00 μB/f.u., excess energy over the best structure of this formula in the dataset 1.096 eV per formula unit, final energy -5.723 eV per atom. Number 10: magnetic moment 0.00 μB/f.u., excess energy over the best structure of this formula in the dataset 0.765 eV per formula unit, final energy -5.834 eV per atom. Number 11: magnetic moment 2.34 μB/f.u., excess energy over the best structure of this formula in the dataset 0.434 eV per formula unit, final energy -4.154 eV per atom. Number 12: magnetic moment 0.00 μB/f.u., excess energy over the best structure of this formula in the dataset 0.000 eV per formula unit, final energy -5.404 eV per atom.